# 1
The following is a DFT calculation (PBE) of NaCu2AuCl8 after structural relaxation.

```
NaCu2AuCl8
1.0
7.557 0.027 -0.006
0.116 6.454 -0.010
0.008 0.010 6.955
Cl Au Na Cu
8 1 1 2
direct
0.878 0.230 0.224 Cl
0.614 0.692 0.500 Cl
0.122 0.770 0.776 Cl
0.601 0.701 0.000 Cl
0.386 0.308 0.500 Cl
0.399 0.299 0.000 Cl
0.121 0.770 0.224 Cl
0.879 0.230 0.776 Cl
0.000 0.000 0.000 Au
0.000 0.000 0.500 Na
0.500 0.500 0.751 Cu
0.500 0.500 0.249 Cu
```

Formation energy without anion corrections = -0.622 eV per atom
Density = 3.088 g cm⁻³
Raw total energy = -35.0 eV per cell


# 2
The following is a DFT calculation (PBE) of CuNiAuCl2 after structural relaxation.

```
CuNiAuCl2
1.0
-1.229 -3.562 2.460
4.841 -0.237 2.074
-1.291 2.742 3.326
Cl Au Cu Ni
2 1 1 1
direct
0.500 0.000 0.000 Cl
0.000 0.000 0.500 Cl
0.000 0.500 0.000 Au
0.000 0.000 0.000 Cu
0.500 0.500 0.500 Ni
```

Formation energy without anion corrections = 0.524 eV per atom
Density = 6.069 g cm⁻³
Raw total energy = -14.2 eV per cell


# 3
The following is a DFT calculation (PBE) of CuP2AuCl after structural relaxation.

```
CuP2AuCl
1.0
-4.175 -1.816 0.090
0.937 -1.956 4.004
-1.590 3.765 2.212
Cl P Au Cu
1 2 1 1
direct
0.000 0.000 0.500 Cl
0.000 0.500 0.000 P
0.500 0.000 0.000 P
0.500 0.500 0.500 Au
0.000 0.000 0.000 Cu
```

Formation energy without anion corrections = 0.784 eV per atom
ΔE to the lowest computed polymorph = 0 meV per atom
Density = 6.169 g cm⁻³
Raw total energy = -16.1 eV per cell